Here is Nd2DyCd after structural relaxation from Alexandria. Energies are from GGA-PBE.

## Properties
As for the relative energy among the computed polymorphs: 0.0 meV/atom. The crystal system is tetragonal.

a = 3.7125 Å, b = 3.7125 Å, c = 9.0383 Å
α = 90.00°, β = 90.00°, γ = 90.00°
Space group P4/mmm (No. 123)
Unique sites:
1 Nd 0.0000 0.0000 0.2276 [2 per cell]
2 Dy 0.5000 0.5000 0.5000 [1 per cell]
3 Cd 0.5000 0.5000 0.0000 [1 per cell]

---

Here is Nd5Dy5Cd2 after structural relaxation from Alexandria. Energies are from GGA-PBE.

## Properties
The crystal system is monoclinic.

a = 12.3461 Å, b = 5.4881 Å, c = 11.1686 Å
α = 90.00°, β = 90.25°, γ = 90.00°
Space group C2/m (No. 12)
Unique sites:
1 Nd 0.0000 0.0000 0.0000 [2 per cell]
2 Nd 0.0193 0.5000 0.7519 [4 per cell]
3 Nd 0.1784 0.5000 0.4670 [4 per cell]
4 Dy 0.0000 0.0000 0.5000 [2 per cell]
5 Dy 0.1804 0.5000 0.0343 [4 per cell]
6 Dy 0.1830 0.0000 0.2472 [4 per cell]
7 Cd 0.1519 0.0000 0.7494 [4 per cell]

---

Here is NdDyCd6 after structural relaxation from Alexandria. Energies are from GGA-PBE.

## Properties
The crystal system is orthorhombic.

a = 4.9233 Å, b = 7.1750 Å, c = 11.0953 Å
α = 90.00°, β = 90.00°, γ = 90.00°
Space group Amm2 (No. 38)
Unique sites:
1 Nd 0.0000 0.0000 0.0000 [2 per cell]
2 Dy 0.5000 0.0000 0.7215 [2 per cell]
3 Cd 0.0000 0.0000 0.5354 [2 per cell]
4 Cd 0.0000 0.2184 0.2675 [4 per cell]
5 Cd 0.5000 0.0000 0.1916 [2 per cell]
6 Cd 0.5000 0.2144 0.4531 [4 per cell]

---

Here is Nd3DyCd2 after structural relaxation from Alexandria. Energies are from GGA-PBE.

## Properties
As for the relative energy among the computed polymorphs: 56.7 meV/atom. The crystal system is orthorhombic.

a = 4.9631 Å, b = 14.8896 Å, c = 4.8135 Å
α = 90.00°, β = 90.00°, γ = 90.00°
Space group Cmmm (No. 65)
Unique sites:
1 Nd 0.0000 0.0000 0.0000 [2 per cell]
2 Nd 0.0000 0.3276 0.0000 [4 per cell]
3 Dy 0.0000 0.5000 0.5000 [2 per cell]
4 Cd 0.0000 0.1643 0.5000 [4 per cell]

---

Here is NdDy7Cd4 after structural relaxation from Alexandria. Energies are from GGA-PBE.

## Properties
The crystal system is monoclinic.

a = 14.7290 Å, b = 5.7251 Å, c = 9.7389 Å
α = 90.00°, β = 122.02°, γ = 90.00°
Space group C2/m (No. 12)
Unique sites:
1 Nd 0.0000 0.0000 0.0000 [2 per cell]
2 Dy 0.0000 0.5000 0.0000 [2 per cell]
3 Dy 0.0713 0.0000 0.4134 [4 per cell]
4 Dy 0.2054 0.0000 0.8799 [4 per cell]
5 Dy 0.2364 0.5000 0.6919 [4 per cell]
6 Cd 0.0410 0.5000 0.7115 [4 per cell]
7 Cd 0.1822 0.5000 0.3409 [4 per cell]

---

Here is NdDy2Cd8 after structural relaxation from Alexandria. Energies are from GGA-PBE.

## Properties
The crystal system is monoclinic.

a = 8.2523 Å, b = 15.9415 Å, c = 5.3429 Å
α = 90.00°, β = 129.51°, γ = 90.00°
Space group C2/m (No. 12)
Unique sites:
1 Nd 0.0000 0.0000 0.0000 [2 per cell]
2 Dy 0.0000 0.3103 0.5000 [4 per cell]
3 Cd 0.0000 0.2025 0.0000 [4 per cell]
4 Cd 0.0051 0.5000 0.2569 [4 per cell]
5 Cd 0.2319 0.1303 0.7368 [8 per cell]

---

Result set for formation energy from the elements: -0.137 -0.062 -0.291 -0.136 0.003 -0.263 eV per atom, one per record in the order listed.
Result set for total magnetic moment: 0.000 0.000 0.000 0.000 0.000 0.000 Bohr magnetons per cell, one per record in the order listed.